MnNi2As2, optimized geometry, DFT PBE-GGA; energy above the most stable polymorph in this dataset = 0.10 eV per formula unit; space group = No. 127; ΔH_f (0 K) = -15 meV per atom
1.0
6.757 0.000 0.000
0.000 6.757 0.000
0.000 0.000 3.084
Mn Ni As
2 4 4
Direct
0.000 0.000 0.000 Mn
0.500 0.500 0.000 Mn
0.129 0.371 0.000 Ni
0.371 0.871 0.000 Ni
0.629 0.129 0.000 Ni
0.871 0.629 0.000 Ni
0.174 0.674 0.500 As
0.326 0.174 0.500 As
0.674 0.826 0.500 As
0.826 0.326 0.500 As